## Sc2SiSe (PBE)

Data for a relaxed Sc2SiSe crystal.

Cell: 3.356 3.355 7.187 Å, 74.08 90.00 90.00°
Fractional positions:
Sc: 0.000 0.986 0.995
Sc: 0.000 0.514 0.505
Si: 0.500 0.750 0.750
Se: 0.500 0.250 0.250

Properties
The value obtained for the total magnetization is 0.00 μB per cell. As for the uncorrected formation energy: -0.880 eV/atom. As for the crystal system: monoclinic.

***

## BiSIO2 (PBE)

Data for a relaxed BiSIO2 crystal.

Cell: 4.311 4.311 5.132 Å, 90.00 90.00 90.00°
Fractional positions:
I: 0.000 0.000 0.500
O: 0.000 0.500 0.000
O: 0.500 0.000 0.000
S: 0.000 0.000 0.000
Bi: 0.500 0.500 0.500

Properties
The value obtained for the total magnetization is 0.00 μB per cell. As for the uncorrected formation energy: 0.520 eV/atom. As for the crystal system: tetragonal.

***

## YSi2Hg (PBE)

Data for a relaxed YSi2Hg crystal.

Cell: 3.705 3.705 6.267 Å, 90.00 90.00 100.15°
Fractional positions:
Y: 0.500 0.500 0.250
Hg: 0.500 0.500 0.750
Si: 0.000 0.000 0.959
Si: 0.000 0.000 0.541

Properties
The value obtained for the total magnetization is 0.00 μB per cell. As for the uncorrected formation energy: 0.018 eV/atom. As for the crystal system: orthorhombic.

***

Q: Which value of uncorrected formation energy does entry 2 give?
A: 0.520 eV/atom